Compound: Li3SmAg2
Source: Alexandria via LeMat-Bulk
Functional: GGA-PBE
Structure: relaxed

The structure in POSCAR format:
```
Li3SmAg2
1.0
4.3762 0.0000 0.0000
-2.1881 7.0669 -0.6769
0.0000 -3.8639 8.1370
Sm Li Ag
2 6 4
Direct
0.8668 0.7335 0.9864
0.1332 0.2665 0.0136
0.7233 0.4466 0.5563
0.2767 0.5534 0.4437
0.5775 0.1550 0.6864
0.4225 0.8450 0.3136
0.0584 0.1168 0.3973
0.9416 0.8832 0.6027
0.7967 0.5934 0.2654
0.2033 0.4066 0.7346
0.5700 0.1400 0.2004
0.4300 0.8600 0.7996
```

## Properties
Formation energy from the elements: -0.97 eV/f.u.
Space-group type: C2/m
E_tot: -2.855 eV/atom
Volume: 20.0 Å³ per atom

***

Compound: In2PPb2
Source: Alexandria via LeMat-Bulk
Functional: GGA-PBE
Structure: relaxed

The structure in POSCAR format:
```
In2PPb2
1.0
4.0273 0.0000 0.0000
0.0000 4.0273 0.0000
2.0137 2.0137 8.9350
Pb P In
2 1 2
Direct
0.4136 0.4136 0.1729
0.5864 0.5864 0.8271
0.0000 0.0000 0.0000
0.7500 0.2500 0.5000
0.2500 0.7500 0.5000
```

## Properties
Formation energy from the elements: 1.54 eV/f.u.
Space-group type: I4/mmm
E_tot: -3.352 eV/atom
Volume: 29.0 Å³ per atom

***

Compound: Sm5Y3Se8
Source: Alexandria via LeMat-Bulk
Functional: GGA-PBE
Structure: relaxed

The structure in POSCAR format:
```
Sm5Y3Se8
1.0
-4.3849 5.8967 3.7950
-0.5088 0.1094 8.2541
3.8982 5.9280 4.3052
Se Y Sm
8 3 5
Direct
0.7500 0.7500 0.2557
0.2443 0.7500 0.2557
0.7500 0.2443 0.2557
0.7557 0.2500 0.7443
0.2472 0.2472 0.2585
0.7528 0.7528 0.7415
0.2500 0.2500 0.7443
0.2500 0.7557 0.7443
0.0000 0.5000 0.5000
0.0000 0.0000 0.5000
0.5000 0.0000 0.5000
0.0000 0.5000 0.0000
0.5000 0.0000 0.0000
0.5000 0.5000 0.5000
0.5000 0.5000 0.0000
0.0000 0.0000 0.0000
```

## Properties
E_form (uncorrected): -1.79 eV/atom
Space-group type: R-3m
E_tot: -6.222 eV/atom
Volume: 25.1 Å³ per atom